The following is a DFT calculation (GGA+U) of an optimized crystal structure of Fe2O3.

Properties
DFT total energy	-124.80	eV for the cell shown
calculated volume	9.2	Å³/atom

Cell lengths 2.8501, 9.3097, 6.9144 Å; angles 90.00, 90.00, 90.00 degrees
Space group Cmcm (No. 63)
Asymmetric unit:
Fe1 0.0000 0.0000 0.0000
Fe2 0.0000 0.2522 0.2500
O1 0.0000 0.0934 0.7500
O2 0.0000 0.3605 0.5633